Below is a geometry-optimized Nd3Mn structure, with properties calculated at the PBE level.

Cell lengths 3.857, 9.570, 6.475 Å; angles 90.00, 107.33, 90.00 degrees
Space group P2_1/m (No. 11)
Symmetry-distinct sites (fractional):
Nd (0.080, 0.250, 0.162) x2
Nd (0.355, 0.072, 0.711) x4
Mn (0.261, 0.750, 0.520) x2

Computed properties:
Its calculated formation energy is 91 kJ/mol of formula units. The value obtained for the total energy is -5.63 eV per atom.

***

Below is a geometry-optimized Nd3Mn structure, with properties calculated at the PBE level.

Cell lengths 4.923, 4.923, 4.923 Å; angles 90.00, 90.00, 90.00 degrees
Space group Pm-3m (No. 221)
Symmetry-distinct sites (fractional):
Nd (0.000, 0.000, 0.500) x3
Mn (0.500, 0.500, 0.500) x1

Computed properties:
Its calculated formation energy is 101 kJ/mol of formula units. The value obtained for the total energy is -5.61 eV per atom.

***

Below is a geometry-optimized NdMn2 structure, with properties calculated at the PBE level.

Cell lengths 5.5459, 5.5459, 8.2323 Å; angles 90.00, 90.00, 120.00 degrees
Space group P6_3/mmc (No. 194)
Symmetry-distinct sites (fractional):
Nd (0.3333, 0.6667, 0.0584) x4
Mn (0.0000, 0.0000, 0.0000) x2
Mn (0.1607, 0.3214, 0.7500) x6

Computed properties:
Its calculated formation energy is 55 kJ/mol of formula units. The value obtained for the total energy is -7.51 eV per atom.

***

Number 1: DOS(E_F) 6.45 states/eV/cell. Number 2: DOS(E_F) 4.93 states/eV/cell. Number 3: DOS(E_F) 10.85 states/eV/cell.